(1)
DFT (GGA-PBE) results for crystalline TcAgCl2 at its relaxed geometry.

```
TcAgCl2
1.0
-2.782 5.872 4.403
-7.339 -2.250 -1.636
-5.047 0.141 3.619
Tc Ag Cl
2 2 4
Cartesian
-5.061 1.811 1.383
-8.723 -0.149 1.683
0.000 0.000 0.000
-6.445 3.912 4.702
-3.572 2.693 2.904
-6.543 0.094 0.980
-8.494 1.184 3.548
-11.728 3.555 5.338
```

Properties
Raw total energy: -3.971 eV per atom
Offset from the most stable computed form: 0.279 eV/atom
Formation energy from raw total energies: 24.8 kJ/mol of atoms
DOS(E_F): 0.65 states/eV/atom

=====

(2)
DFT (GGA-PBE) results for crystalline SrNbMo3 at its relaxed geometry.

```
SrNbMo3
1.0
-3.913 2.914 -0.560
0.298 -0.536 -4.873
-2.952 -3.917 0.250
Sr Mo Nb
1 3 1
Cartesian
-3.284 -0.769 -2.591
0.149 -0.268 -2.436
-1.476 -1.958 0.125
-1.957 1.457 -0.280
0.000 0.000 0.000
```

Properties
ΔE_f: 1.46 eV per atom
Raw total energy: -7.387 eV per atom
Offset from the most stable computed form: 0.000 eV/atom
DOS(E_F): 1.69 states/eV/atom

=====

(3)
DFT (GGA-PBE) results for crystalline Rb2Cu2AsO6 at its relaxed geometry.

```
Rb2Cu2AsO6
1.0
-0.147 -0.442 -5.677
4.854 -0.042 -2.980
1.802 -6.199 -2.421
Rb Cu As O
2 2 1 6
Cartesian
4.853 -4.268 -8.366
1.656 -2.416 -2.712
3.334 -5.395 -5.381
3.176 -1.288 -5.697
0.000 0.000 0.000
4.053 -1.571 -7.281
4.134 -1.327 -4.135
1.363 -1.548 -5.630
5.147 -5.135 -5.448
2.375 -5.357 -6.943
2.457 -5.112 -3.797
```

Properties
Raw total energy: -5.029 eV per atom
Formation energy from raw total energies: -94.7 kJ/mol of atoms
DOS(E_F): 0.69 states/eV/atom

=====

(4)
DFT (GGA-PBE) results for crystalline Ti3Mo at its relaxed geometry.

```
Ti3Mo
1.0
-0.990 5.295 -0.414
-5.059 -1.068 -1.567
1.128 0.621 5.247
Ti Mo
6 2
Cartesian
-3.625 3.363 -1.203
-2.424 0.864 -0.778
-2.434 3.779 1.273
0.238 1.591 2.154
-2.487 1.069 1.993
-5.158 3.257 1.112
0.000 0.000 0.000
-0.495 2.648 -0.207
```

Properties
ΔE_f: 0.11 eV per atom
Raw total energy: -8.523 eV per atom
DOS(E_F): 1.42 states/eV/atom

=====

(5)
DFT (GGA-PBE) results for crystalline BaSbPb2 at its relaxed geometry.

```
BaSbPb2
1.0
-0.282 3.018 -3.084
0.156 -3.082 -3.030
-7.396 -0.529 0.157
Ba Pb Sb
1 2 1
Cartesian
-5.610 -0.429 -2.939
-0.349 -0.025 0.007
-3.349 -0.240 0.071
-1.912 -0.164 -3.018
```

Properties
Raw total energy: -3.627 eV per atom
Formation energy from raw total energies: -25.2 kJ/mol of atoms
DOS(E_F): 0.43 states/eV/atom

=====

(6)
DFT (GGA-PBE) results for crystalline Sr2YP at its relaxed geometry.

```
Sr2YP
1.0
0.000 3.928 3.928
3.928 0.000 3.928
3.928 3.928 0.000
Sr Y P
2 1 1
Cartesian
0.000 0.000 0.000
5.892 5.892 5.892
1.964 1.964 1.964
3.928 3.928 3.928
```

Properties
ΔE_f: 0.15 eV per atom
Raw total energy: -3.662 eV per atom
DOS(E_F): 1.21 states/eV/atom

=====

(7)
DFT (GGA-PBE) results for crystalline Th3P at its relaxed geometry.

```
Th3P
1.0
3.750 0.000 0.000
0.000 6.425 0.000
-1.875 -3.213 4.758
P Th
1 3
Cartesian
0.000 0.434 0.000
0.000 2.233 2.899
1.875 2.597 0.000
1.875 -0.980 1.859
```

Properties
ΔE_f: -0.51 eV per atom
Raw total energy: -7.423 eV per atom
DOS(E_F): 1.33 states/eV/atom

=====

(8)
DFT (GGA-PBE) results for crystalline SrPrSi2Pt5 at its relaxed geometry.

```
SrPrSi2Pt5
1.0
-0.997 -3.285 -2.550
3.632 0.590 -2.180
4.360 -5.753 5.707
Sr Pr Si Pt
1 1 2 5
Cartesian
0.000 0.000 0.000
2.180 -2.877 2.853
1.925 -2.149 -1.570
5.070 -6.299 2.547
2.973 -1.232 0.425
0.659 -3.170 0.240
5.019 -3.931 3.102
2.704 -5.869 2.917
3.497 -4.224 0.489
```

Properties
Raw total energy: -6.213 eV per atom
Formation energy from raw total energies: -90.1 kJ/mol of atoms
DOS(E_F): 0.55 states/eV/atom

=====

> What is the raw total energy in the third record?

-5.029 eV per atom